## MnNiSb2I (GGA-PBE)

Data for a geometry-optimized MnNiSb2I structure.

Properties
**Space group**: P4/mmm (123)
**Total magnetization**: 2.4 Bohr magnetons per cell
**Energy relative to the elements, uncorrected**: 0.862 eV/atom
**Offset from the most stable computed form**: 0.2533 eV/atom
**Total energy**: -4.087 eV per atom
**Volume**: 133 Å³/f.u.

Cell lengths 4.908, 4.908, 5.535 Å; angles 90.00, 90.00, 90.00 degrees
Sites, in units of the cell vectors:
Mn1 0.000 0.000 0.000
Ni1 0.500 0.500 0.500
Sb1 0.000 0.500 0.000
Sb2 0.500 0.000 0.000
I1 0.000 0.000 0.500